#a
A plane-wave DFT calculation with PBE was carried out for a geometry-optimized TaPtPb2 structure.

Geometry as POSCAR:
```
TaPtPb2
1.0
-1.697 -3.169 9.146
-3.433 -5.322 7.515
-0.284 -5.787 7.938
Pb Pt Ta
2 1 1
Cartesian
-2.730 -7.201 12.405
-5.390 -14.217 24.493
-1.353 -3.570 6.150
-4.060 -10.709 18.449
```

---

#b
A plane-wave DFT calculation with PBE was carried out for a geometry-optimized TaPtPb2 structure.

Geometry as POSCAR:
```
TaPtPb2
1.0
-5.397 1.903 0.737
-4.249 -2.289 -3.162
4.388 -1.836 3.266
Pb Ta Pt
2 1 1
Cartesian
-2.342 -2.159 -0.554
0.000 0.000 0.000
-2.916 -0.063 1.395
-4.823 -0.193 -1.212
```

---

#c
A plane-wave DFT calculation with PBE was carried out for a geometry-optimized TaPtPb2 structure.

Geometry as POSCAR:
```
TaPtPb2
1.0
-2.645 -3.003 -3.017
-1.045 -4.691 1.422
-4.696 -1.264 1.212
Ta Pb Pt
1 2 1
Cartesian
-6.289 -6.718 -0.287
0.000 0.000 0.000
-2.096 -2.239 -0.096
-4.193 -4.479 -0.191
```

---

It comes down to #b, which is 0.034 eV/atom more stable than the next structure.

---

#a
A plane-wave DFT calculation with PBE was carried out for a geometry-optimized TaPtPb3 structure.

Geometry as POSCAR:
```
TaPtPb3
1.0
5.340 0.000 0.000
0.000 5.340 0.000
0.000 0.000 5.340
Pb Ta Pt
3 1 1
Cartesian
0.000 0.000 2.670
2.670 0.000 0.000
0.000 2.670 0.000
2.670 2.670 2.670
0.000 0.000 0.000
```

---

#b
A plane-wave DFT calculation with PBE was carried out for a geometry-optimized TaPtPb3 structure.

Geometry as POSCAR:
```
TaPtPb3
1.0
5.441 0.000 0.000
0.000 5.441 0.000
0.000 0.000 5.441
Ta Pb Pt
1 3 1
Cartesian
0.000 0.000 0.000
0.000 2.721 0.000
2.721 0.000 0.000
0.000 0.000 2.721
2.721 2.721 2.721
```

---

It comes down to #b, which is 0.062 eV/atom more stable than the next structure.

---

#a
A plane-wave DFT calculation with PBE was carried out for a geometry-optimized Ta3PtPb structure.

Geometry as POSCAR:
```
Ta3PtPb
1.0
5.025 0.000 0.000
0.000 5.025 0.000
0.000 0.000 5.025
Ta Pt Pb
3 1 1
Cartesian
2.512 0.000 0.000
0.000 0.000 2.512
0.000 2.512 0.000
2.512 2.512 2.512
0.000 0.000 0.000
```

---

#b
A plane-wave DFT calculation with PBE was carried out for a geometry-optimized Ta3PtPb structure.

Geometry as POSCAR:
```
Ta3PtPb
1.0
-4.102 -2.545 1.007
1.811 -1.165 4.437
-2.052 4.060 1.904
Pb Ta Pt
1 3 1
Cartesian
-2.171 0.175 3.673
-1.026 2.030 0.952
0.906 -0.582 2.218
-2.051 -1.273 0.503
0.000 0.000 0.000
```

---

It comes down to #b, which is 1.405 eV/atom more stable than the next structure.

---

#a
A plane-wave DFT calculation with PBE was carried out for a geometry-optimized TcPt2Pb structure.

Geometry as POSCAR:
```
TcPt2Pb
1.0
2.919 0.000 0.000
0.000 2.919 0.000
0.000 0.000 8.574
Pt Tc Pb
2 1 1
Cartesian
0.000 0.000 3.921
0.000 0.000 0.366
1.460 1.460 2.144
1.460 1.460 6.431
```

---

#b
A plane-wave DFT calculation with PBE was carried out for a geometry-optimized TcPt2Pb structure.

Geometry as POSCAR:
```
TcPt2Pb
1.0
4.997 0.005 0.007
4.017 2.972 0.007
0.787 0.260 4.712
Tc Pb Pt
1 1 2
Cartesian
7.350 2.428 3.544
2.450 0.809 1.181
0.846 0.279 4.609
4.841 1.599 2.466
```

---

#c
A plane-wave DFT calculation with PBE was carried out for a geometry-optimized TcPt2Pb structure.

Geometry as POSCAR:
```
TcPt2Pb
1.0
-0.438 0.297 5.027
2.011 -4.090 2.185
1.770 3.230 -3.462
Pt Pb Tc
2 1 1
Cartesian
0.000 0.000 0.000
0.786 -1.897 3.606
1.059 0.815 2.585
2.284 -1.378 1.164
```

---

It comes down to #a, which is 0.137 eV/atom more stable than the next structure.